[1]
Material: Er3U2Se6
Method: DFT, PBE
State: optimized geometry

The structure belongs to space group R-3m (No. 166, hexagonal axes); the cell edges are 4.0495, 4.0495 and 60.4165 Å and the angles 90.00°, 90.00° and 120.00°. Symmetry generates all atoms from Er at (0.0000, 0.0000, 0.0000), Er at (0.0000, 0.0000, 0.2783), U at (0.0000, 0.0000, 0.4435), Se at (0.0000, 0.0000, 0.0813), Se at (0.0000, 0.0000, 0.1971) and Se at (0.0000, 0.0000, 0.3605).

[2]
Material: Er2USe6
Method: DFT, PBE
State: optimized geometry

The structure belongs to space group P4_2/mnm (No. 136); the cell edges are 6.6209, 6.6209 and 12.3646 Å and the angles 90.00°, 90.00° and 90.00°. Symmetry generates all atoms from Er at (0.0000, 0.0000, 0.1644), U at (0.0000, 0.0000, 0.5000), Se at (0.1946, 0.1946, 0.3396) and Se at (0.2075, 0.2075, 0.0000).

[3]
Material: ErVSe2
Method: DFT, PBE
State: optimized geometry

The structure belongs to space group R-3m (No. 166, hexagonal axes); the cell edges are 3.7298, 3.7298 and 25.1890 Å and the angles 90.00°, 90.00° and 120.00°. Symmetry generates all atoms from Er at (0.0000, 0.0000, 0.0000), V at (0.0000, 0.0000, 0.5000) and Se at (0.0000, 0.0000, 0.1101).

| no. | DFT total energy (eV per atom) | uncorrected formation energy (eV per atom) |
| --- | --- | --- |
| 1 | -6.622 | -1.425 |
| 2 | -5.930 | -1.339 |
| 3 | -5.793 | -0.631 |